ScMn2BrF PBE+U optimized geometry; calculated density = 2546 kg/m³; D(E_F) = 3.59 states/eV/f.u.; crystal system = tetragonal; E above lowest polymorph = 2.962 eV/f.u.; total magnetization = 1.820 μB/atom
1.0
5.716 0.000 0.000
0.000 5.064 0.000
0.000 0.000 5.716
Sc Mn Br F
1 2 1 1
Direct
0.000 0.000 0.000
0.000 0.000 0.500
0.500 0.000 0.000
0.000 0.500 0.000
0.500 0.500 0.500